No. 1
A plane-wave DFT calculation with PBE-GGA was carried out for CaRu2SO after structural relaxation. Values from VASP.

The structure in Quantum ESPRESSO input format:
```
&SYSTEM
  ibrav = 0, nat = 5, ntyp = 4
/
ATOMIC_SPECIES
Ru 101.07 Ru.upf
S 32.06 S.upf
Ca 40.08 Ca.upf
O 16.00 O.upf
CELL_PARAMETERS angstrom
4.0300 0.0000 0.0000
0.0000 4.9046 0.0000
0.0000 0.0000 4.0300
ATOMIC_POSITIONS angstrom
Ru 0.0000 0.0000 2.0150
Ru 2.0150 0.0000 0.0000
S 2.0150 2.4523 2.0150
Ca 0.0000 2.4523 0.0000
O 0.0000 0.0000 0.0000
```

Results
- Final energy: -6.223 eV per atom
- Total moment: 2.4 μB per formula unit

No. 2
A plane-wave DFT calculation with PBE-GGA was carried out for CaSbRuO6 after structural relaxation. Values from VASP.

The structure in Quantum ESPRESSO input format:
```
&SYSTEM
  ibrav = 0, nat = 18, ntyp = 4
/
ATOMIC_SPECIES
O 16.00 O.upf
Sb 121.76 Sb.upf
Ca 40.08 Ca.upf
Ru 101.07 Ru.upf
CELL_PARAMETERS angstrom
-0.8514 -2.3374 -4.1940
2.1097 -4.0084 1.8057
-8.4770 -2.9466 3.3632
ATOMIC_POSITIONS angstrom
O 0.8178 -4.2925 -1.5991
O -1.7675 -5.4075 -0.6337
O -7.1347 -5.0795 -0.2188
Sb -6.4236 -5.6245 1.6040
O 0.3781 -2.0750 -0.7645
O -5.4276 -3.8541 1.6054
Ca -3.5944 -4.6410 0.4815
Ru -5.6710 -1.9713 2.2499
O -2.2875 -2.7852 0.3533
O -4.8992 -6.5187 0.6025
O -5.3972 -6.0599 3.3016
Ru -0.8034 -3.6708 -0.6258
O -4.6038 -4.1135 -1.4518
O -1.7838 -3.2284 -2.3178
O -0.0660 -4.1977 1.1626
Ca -8.4620 -2.9414 3.3572
Sb -2.8142 -0.9782 1.1165
O -2.6774 -5.2006 2.4514
```

Results
- Final energy: -6.521 eV per atom
- Total moment: 2.9 μB per formula unit

No. 3
A plane-wave DFT calculation with PBE-GGA was carried out for Ca2SbRuO6 after structural relaxation. Values from VASP.

The structure in Quantum ESPRESSO input format:
```
&SYSTEM
  ibrav = 0, nat = 20, ntyp = 4
/
ATOMIC_SPECIES
Sb 121.76 Sb.upf
O 16.00 O.upf
Ca 40.08 Ca.upf
Ru 101.07 Ru.upf
CELL_PARAMETERS angstrom
-4.4924 3.1460 0.0986
-0.9574 -1.5367 5.4083
4.1965 6.1392 2.4873
ATOMIC_POSITIONS angstrom
Sb -0.1480 4.6426 1.2930
O 0.4483 4.3597 7.1019
O -3.4909 3.5135 3.6183
O -0.4190 7.1084 6.7254
O -1.7017 3.3888 0.8924
O 0.8021 3.0765 2.1878
O 0.5484 7.5495 4.0778
O -0.8344 0.6401 1.2689
Ca 0.2914 5.3801 4.9336
O 2.2375 4.2350 4.3759
Sb -0.4787 -0.7684 2.7042
Ru 1.6195 2.3013 3.9478
O -0.1854 2.6032 4.9488
Ru -2.2462 1.5730 0.0493
Ca -1.3243 7.6025 2.2718
O -1.8018 0.1990 3.9165
O -1.0680 5.1453 3.0454
Ca 0.0709 0.1460 5.7225
Ca -1.5448 2.3684 3.0607
O -2.0555 4.6720 5.8064
```

Results
- Final energy: -6.647 eV per atom
- Total moment: 1.0 μB per formula unit

No. 4
A plane-wave DFT calculation with PBE-GGA was carried out for CaSc2RuO8 after structural relaxation. Values from VASP.

The structure in Quantum ESPRESSO input format:
```
&SYSTEM
  ibrav = 0, nat = 12, ntyp = 4
/
ATOMIC_SPECIES
Sc 44.96 Sc.upf
O 16.00 O.upf
Ru 101.07 Ru.upf
Ca 40.08 Ca.upf
CELL_PARAMETERS angstrom
4.8736 -0.0055 -0.0031
0.0180 4.8588 -0.0052
0.0042 0.0071 6.5331
ATOMIC_POSITIONS angstrom
Sc 2.4469 2.4285 1.6911
O 0.9517 3.9200 5.2115
O 3.9440 0.9404 1.3133
Ru 0.0000 0.0000 0.0000
O 1.5701 1.5447 3.2640
O 3.5094 3.4948 6.5271
O 1.3864 1.3657 -0.0023
O 3.9466 0.9447 5.2128
O 0.9491 3.9157 1.3120
Ca 0.0021 0.0035 3.2666
O 3.3257 3.3157 3.2609
Sc 2.4489 2.4319 4.8337
```

Results
- Final energy: -7.406 eV per atom
- Total moment: 0.0 μB per formula unit

No. 5
A plane-wave DFT calculation with PBE-GGA was carried out for CaSmRu2O8 after structural relaxation. Values from VASP.

The structure in Quantum ESPRESSO input format:
```
&SYSTEM
  ibrav = 0, nat = 12, ntyp = 4
/
ATOMIC_SPECIES
O 16.00 O.upf
Sm 150.36 Sm.upf
Ca 40.08 Ca.upf
Ru 101.07 Ru.upf
CELL_PARAMETERS angstrom
5.9157 0.0000 0.0000
-2.9578 5.1231 0.0000
0.0000 0.0000 6.9051
ATOMIC_POSITIONS angstrom
O -1.5185 4.2919 5.0696
Sm 0.0000 0.0000 3.4526
Ca 0.0000 0.0000 0.0000
O 1.5183 4.2922 5.0696
O 2.9578 1.7077 6.4267
O 2.9576 3.4610 1.8355
O 1.4395 0.8309 1.8355
Ru 2.9578 1.7077 1.2794
O 0.0002 1.6621 5.0696
Ru 0.0000 3.4154 5.6257
O 0.0000 3.4154 0.4785
O 4.4763 0.8312 1.8355
```

Results
- Final energy: -7.014 eV per atom
- Total moment: 3.0 μB per formula unit

No. 6
A plane-wave DFT calculation with PBE-GGA was carried out for Ca2SnRuO6 after structural relaxation. Values from VASP.

The structure in Quantum ESPRESSO input format:
```
&SYSTEM
  ibrav = 0, nat = 20, ntyp = 4
/
ATOMIC_SPECIES
O 16.00 O.upf
Ru 101.07 Ru.upf
Ca 40.08 Ca.upf
Sn 118.71 Sn.upf
CELL_PARAMETERS angstrom
5.5002 0.0000 0.0090
0.0000 5.7047 0.0000
0.0621 0.0000 7.8822
ATOMIC_POSITIONS angstrom
O 0.6279 2.6277 5.8729
O 1.0878 1.1638 3.4976
Ru 2.7501 0.0000 0.0045
O 3.3469 0.2246 1.9363
Ca 0.1033 5.3807 1.9702
O 3.8689 1.6886 7.4432
Ca 5.4590 0.3240 5.9210
O 1.6612 3.9755 3.5171
Sn 0.0000 2.8524 0.0000
O 3.9011 1.7292 4.3742
O 4.9344 3.0770 2.0183
Sn 2.7811 0.0000 3.9456
O 4.4745 4.5409 4.3936
O 1.1200 1.1231 0.4286
Ru 0.0310 2.8524 3.9411
Ca 2.6778 2.5284 1.9754
Ca 2.8844 3.1764 5.9158
O 2.2153 5.4801 5.9550
O 4.4423 4.5816 7.4627
O 1.6934 4.0162 0.4480
```

Results
- Final energy: -6.685 eV per atom
- Total moment: 2.0 μB per formula unit

No. 7
A plane-wave DFT calculation with PBE-GGA was carried out for SrCaRu2O8 after structural relaxation. Values from VASP.

The structure in Quantum ESPRESSO input format:
```
&SYSTEM
  ibrav = 0, nat = 12, ntyp = 4
/
ATOMIC_SPECIES
O 16.00 O.upf
Ca 40.08 Ca.upf
Sr 87.62 Sr.upf
Ru 101.07 Ru.upf
CELL_PARAMETERS angstrom
5.9008 0.0000 0.0000
-2.9504 5.1102 0.0000
0.0000 0.0000 7.3214
ATOMIC_POSITIONS angstrom
O 2.9534 3.4354 2.0259
O -0.0030 1.6748 5.2955
Ca 0.0000 0.0000 3.6607
Sr 0.0000 0.0000 0.0000
O 1.4489 0.8400 2.0259
O 4.4489 0.8348 2.0259
O -1.4985 4.2754 5.2955
Ru 2.9504 1.7034 1.5287
O 0.0000 3.4068 0.2435
O 2.9504 1.7034 7.0779
Ru 0.0000 3.4068 5.7927
O 1.5015 4.2702 5.2955
```

Results
- Final energy: -6.703 eV per atom
- Total moment: 4.0 μB per formula unit

No. 8
A plane-wave DFT calculation with PBE-GGA was carried out for SrCa3Ru2O8 after structural relaxation. Values from VASP.

The structure in Quantum ESPRESSO input format:
```
&SYSTEM
  ibrav = 0, nat = 28, ntyp = 4
/
ATOMIC_SPECIES
O 16.00 O.upf
Ru 101.07 Ru.upf
Ca 40.08 Ca.upf
Sr 87.62 Sr.upf
CELL_PARAMETERS angstrom
13.3192 0.0210 -0.0002
11.1464 7.2911 0.0001
-12.2327 -3.6561 3.7939
ATOMIC_POSITIONS angstrom
O -3.4189 0.4298 3.7940
O 13.2362 3.9560 0.0000
Ru 15.2344 4.5531 0.0000
O 5.0746 1.5166 0.0000
O 17.3073 5.1727 0.0000
O -11.2293 -3.3562 3.7939
O 3.5116 -0.9303 3.3504
Ca 1.7041 -1.4707 1.8969
O 10.6831 5.1727 1.8970
Sr 5.4680 -0.3457 1.8969
Ru 8.6790 4.5737 1.8970
Ca 11.0652 3.3070 3.7939
Ca 0.6177 2.1644 1.8971
Ca -1.1675 -0.3490 3.7939
O 7.7761 0.3441 1.8968
Ca 7.3563 2.1986 0.0000
Ru 3.0017 0.8971 0.0000
O 9.2121 2.7532 2.4031
O 11.7695 1.5376 1.8969
O 14.6580 6.3608 0.4435
O 9.6104 1.4206 0.0000
Ca 19.5891 5.8546 0.0000
O 6.6896 3.9792 1.8970
O -3.0206 -0.9028 1.3909
O 15.3282 4.1183 1.8969
Ru 9.7654 0.9387 1.8969
Sr 4.3816 3.2894 1.8970
O 2.8414 1.3120 1.8969
```

Results
- Final energy: -6.799 eV per atom
- Total moment: 3.0 μB per formula unit